# 1
VASP calculation (PBE) on SrCaTlGe after structural relaxation.

Unit cell a=7.767 b=7.767 c=7.767 alpha=90.00 beta=90.00 gamma=90.00
Space group F-43m (No. 216)
Symmetry-distinct sites (fractional):
Sr (0.000, 0.000, 0.000) x4
Ca (0.000, 0.000, 0.500) x4
Tl (0.250, 0.250, 0.750) x4
Ge (0.250, 0.250, 0.250) x4

Calculated values
Fermi-level density of states ... 10.96 states/eV per cell
Magnetization ... 0.000 μB per formula unit
Energy of formation from the pure elements ... -1.688 eV/f.u.
Final energy ... -3.0888 eV/atom

# 2
VASP calculation (PBE) on Sm4Dy2YSc after structural relaxation.

Unit cell a=5.052 b=5.052 c=9.934 alpha=90.00 beta=90.00 gamma=90.00
Space group P4/mmm (No. 123)
Symmetry-distinct sites (fractional):
Sm (0.000, 0.500, 0.244) x4
Dy (0.000, 0.000, 0.000) x1
Dy (0.500, 0.500, 0.500) x1
Y (0.000, 0.000, 0.500) x1
Sc (0.500, 0.500, 0.000) x1

Calculated values
Fermi-level density of states ... 11.40 states/eV per cell
Magnetization ... 0.000 μB per formula unit
Energy of formation from the pure elements ... 0.237 eV/f.u.
Final energy ... -5.0799 eV/atom

# 3
VASP calculation (PBE) on CuReS2 after structural relaxation.

Unit cell a=5.981 b=5.981 c=5.981 alpha=90.00 beta=90.00 gamma=90.00
Space group Fm-3m (No. 225)
Symmetry-distinct sites (fractional):
Cu (0.000, 0.000, 0.000) x4
Re (0.000, 0.000, 0.500) x4
S (0.250, 0.250, 0.250) x8

Calculated values
Fermi-level density of states ... 1.60 states/eV per cell
Magnetization ... 0.000 μB per formula unit
ΔE_f (raw) ... 303 meV per atom
Final energy ... -5.8973 eV/atom
Energy above the most stable polymorph in this dataset ... 0.337 eV/atom

# 4
VASP calculation (PBE) on La2Sm3Er3 after structural relaxation.

Unit cell a=5.964 b=5.964 c=15.142 alpha=90.00 beta=90.00 gamma=90.00
Space group Immm (No. 71)
Symmetry-distinct sites (fractional):
La (0.000, 0.000, 0.248) x4
Sm (0.000, 0.000, 0.500) x2
Sm (0.000, 0.500, 0.120) x4
Er (0.000, 0.000, 0.000) x2
Er (0.000, 0.500, 0.381) x4

Calculated values
Fermi-level density of states ... 32.79 states/eV per cell
Magnetization ... 0.000 μB per formula unit
Energy of formation from the pure elements ... 0.909 eV/f.u.
Final energy ... -4.5990 eV/atom
Energy above the most stable polymorph in this dataset ... 0.000 eV/atom